[1]
A plane-wave DFT calculation with PBE-GGA was carried out for crystalline ZrTaRe2 at its relaxed geometry.

a b c (Å): 2.851 4.480 5.409
angles (deg): 90.00 98.59 90.00
Space group P2/m (No. 10)
Inequivalent atoms, fractional coordinates:
Zr  0.000  0.000  0.000 (multiplicity 1)
Ta  0.500  0.000  0.500 (multiplicity 1)
Re  0.253  0.500  0.743 (multiplicity 2)

Summary:
Energy relative to the elements, eV/atom: -0.107
Density of states at the Fermi level, states/eV/cell: 1.988

[2]
A plane-wave DFT calculation with PBE-GGA was carried out for crystalline ScGaP2O at its relaxed geometry.

a b c (Å): 5.208 5.208 3.824
angles (deg): 90.00 90.00 90.00
Space group P4/mmm (No. 123)
Inequivalent atoms, fractional coordinates:
Sc  0.000  0.000  0.000 (multiplicity 1)
Ga  0.500  0.500  0.500 (multiplicity 1)
P  0.000  0.500  0.000 (multiplicity 2)
O  0.000  0.000  0.500 (multiplicity 1)

Summary:
Energy relative to the elements, uncorrected, eV per atom: -0.276
Density of states at the Fermi level, states/eV/cell: 3.736

[3]
A plane-wave DFT calculation with PBE-GGA was carried out for crystalline Re2As at its relaxed geometry.

a b c (Å): 5.642 5.642 5.777
angles (deg): 90.00 90.00 90.00
Space group I4/mcm (No. 140)
Inequivalent atoms, fractional coordinates:
Re  0.170  0.330  0.000 (multiplicity 8)
As  0.000  0.000  0.250 (multiplicity 4)

Summary:
Energy relative to the elements, eV/atom: 0.659
Density of states at the Fermi level, states/eV/cell: 4.792

[4]
A plane-wave DFT calculation with PBE-GGA was carried out for crystalline AsIrSeBr2 at its relaxed geometry.

a b c (Å): 5.108 5.108 4.761
angles (deg): 90.00 90.00 90.00
Space group P4/mmm (No. 123)
Inequivalent atoms, fractional coordinates:
As  0.000  0.000  0.000 (multiplicity 1)
Ir  0.000  0.000  0.500 (multiplicity 1)
Se  0.500  0.500  0.000 (multiplicity 1)
Br  0.000  0.500  0.500 (multiplicity 2)

Summary:
Energy relative to the elements, uncorrected, eV per atom: 0.577
Density of states at the Fermi level, states/eV/cell: 4.857

[5]
A plane-wave DFT calculation with PBE-GGA was carried out for crystalline Cr3BRh at its relaxed geometry.

a b c (Å): 4.648 4.648 4.648
angles (deg): 90.00 90.00 90.00
Space group Pm-3m (No. 221)
Inequivalent atoms, fractional coordinates:
Cr  0.000  0.000  0.500 (multiplicity 3)
B  0.500  0.500  0.500 (multiplicity 1)
Rh  0.000  0.000  0.000 (multiplicity 1)

Summary:
Energy relative to the elements, eV/atom: 2.004
Density of states at the Fermi level, states/eV/cell: 6.821

[6]
A plane-wave DFT calculation with PBE-GGA was carried out for crystalline HPdF6 at its relaxed geometry.

a b c (Å): 5.220 8.825 5.381
angles (deg): 90.00 117.88 90.00
Space group C2/m (No. 12)
Inequivalent atoms, fractional coordinates:
H  0.000  0.000  0.000 (multiplicity 2)
Pd  0.000  0.000  0.500 (multiplicity 2)
F  0.165  0.000  0.236 (multiplicity 4)
F  0.232  0.348  0.278 (multiplicity 8)

Summary:
Density of states at the Fermi level, states/eV/cell: 10.134
E_tot, Ha/atom: -0.1322

Total magnetization readings, ordered: 0.00, 0.00, 0.00, 0.55, 9.78, 1.07 μB per formula unit